Record 1
## KFe3Os (PBE)

Data for an optimized crystal structure of KFe3Os.

Cell: 4.782 4.782 4.782 Å, 90.00 90.00 90.00°
Space group Pm-3m (No. 221)
Unique sites:
K 0.000 0.000 0.000
Fe 0.000 0.500 0.500
Os 0.500 0.500 0.500

Its density of states at the Fermi level is 1.38 states/eV/atom. The theoretical density is 6.03 g/cm3. The value obtained for the final energy is -31.40 eV per cell. The formation energy comes out at 1.262 eV per atom.

Record 2
## SrAlInAg2 (PBE)

Data for an optimized crystal structure of SrAlInAg2.

Cell: 4.571 4.595 11.614 Å, 90.00 90.00 90.00°
Space group Imm2 (No. 44)
Unique sites:
Sr 0.000 0.000 0.000
Al 0.000 0.000 0.382
In 0.000 0.500 0.745
Ag 0.000 0.000 0.603
Ag 0.000 0.500 0.266

Its density of states at the Fermi level is 0.42 states/eV/atom. The theoretical density is 6.06 g/cm3. The value obtained for the final energy is -30.23 eV per cell. The formation energy comes out at -0.250 eV per atom.

Record 3
## MgCd2Cu (PBE)

Data for an optimized crystal structure of MgCd2Cu.

Cell: 3.324 4.750 9.639 Å, 90.00 90.00 90.00°
Space group Immm (No. 71)
Unique sites:
Mg 0.000 0.000 0.000
Cd 0.000 0.500 0.222
Cu 0.000 0.000 0.500

Its density of states at the Fermi level is 0.21 states/eV/atom. The theoretical density is 6.82 g/cm3. The value obtained for the final energy is -15.10 eV per cell. The formation energy comes out at -0.008 eV per atom.

> Among the records above, which one has the highest theoretical density?

MgCd2Cu